# 1
Entry from Alexandria via LeMat-Bulk: a crystal of Ba3MnRe relaxed with PBEsol (SCAN).

The structure in CIF format:
```
data_Ba3MnRe
_chemical_formula_sum 'Ba3 Mn1 Re1'
_space_group_name_H-M_alt 'P m -3 m'
_space_group_IT_number 221
_space_group_name_Hall '-P 4 2 3'
_cell_length_a 5.812
_cell_length_b 5.812
_cell_length_c 5.812
_cell_angle_alpha 90.00
_cell_angle_beta 90.00
_cell_angle_gamma 90.00
loop_
_atom_site_label
_atom_site_type_symbol
_atom_site_fract_x
_atom_site_fract_y
_atom_site_fract_z
Ba1 Ba 0.000 0.000 0.500
Mn1 Mn 0.500 0.500 0.500
Re1 Re 0.000 0.000 0.000
```

## Properties
As for the uncorrected energy: -1.495 Ha/atom. As for the energy above the most stable polymorph in this dataset: 0 meV per atom. Its formation energy is 0.9155 eV/atom.

# 2
Entry from Alexandria via LeMat-Bulk: a crystal of BaMnRe relaxed with PBEsol (SCAN).

The structure in CIF format:
```
data_BaMnRe
_chemical_formula_sum 'Ba1 Mn1 Re1'
_space_group_name_H-M_alt 'P 3 m 1'
_space_group_IT_number 156
_space_group_name_Hall 'P 3 -2"'
_cell_length_a 3.9084
_cell_length_b 3.9084
_cell_length_c 5.3310
_cell_angle_alpha 90.00
_cell_angle_beta 90.00
_cell_angle_gamma 120.00
loop_
_atom_site_label
_atom_site_type_symbol
_atom_site_fract_x
_atom_site_fract_y
_atom_site_fract_z
Ba1 Ba 0.0000 0.0000 0.0000
Mn1 Mn 0.3333 0.6667 0.4751
Re1 Re 0.6667 0.3333 0.5181
```

## Properties
As for the uncorrected energy: -1.549 Ha/atom. Its formation energy is 0.8262 eV/atom.

# 3
Entry from Alexandria via LeMat-Bulk: a crystal of BaMn2Re relaxed with PBEsol (SCAN).

The structure in CIF format:
```
data_BaMn2Re
_chemical_formula_sum 'Ba1 Mn2 Re1'
_space_group_name_H-M_alt 'P 1 m 1'
_space_group_IT_number 6
_space_group_name_Hall 'P -2y'
_cell_length_a 3.560
_cell_length_b 3.585
_cell_length_c 6.707
_cell_angle_alpha 90.00
_cell_angle_beta 105.20
_cell_angle_gamma 90.00
loop_
_atom_site_label
_atom_site_type_symbol
_atom_site_fract_x
_atom_site_fract_y
_atom_site_fract_z
Ba1 Ba 0.000 0.000 0.000
Mn1 Mn 0.660 0.500 0.324
Mn2 Mn 0.750 0.000 0.509
Re1 Re 0.276 0.500 0.559
```

## Properties
As for the uncorrected energy: -1.323 Ha/atom. Its formation energy is 0.7864 eV/atom.

# 4
Entry from Alexandria via LeMat-Bulk: a crystal of Ba4MnRh relaxed with PBEsol (SCAN).

The structure in CIF format:
```
data_Ba4MnRh
_chemical_formula_sum 'Ba16 Mn4 Rh4'
_space_group_name_H-M_alt 'F -4 3 m'
_space_group_IT_number 216
_space_group_name_Hall 'F -4 2 3'
_cell_length_a 9.455
_cell_length_b 9.455
_cell_length_c 9.455
_cell_angle_alpha 90.00
_cell_angle_beta 90.00
_cell_angle_gamma 90.00
loop_
_atom_site_label
_atom_site_type_symbol
_atom_site_fract_x
_atom_site_fract_y
_atom_site_fract_z
Ba1 Ba 0.124 0.124 0.124
Mn1 Mn 0.000 0.000 0.500
Rh1 Rh 0.250 0.250 0.750
```

## Properties
As for the uncorrected energy: -1.252 Ha/atom. Its formation energy is 0.9651 eV/atom.

# 5
Entry from Alexandria via LeMat-Bulk: a crystal of BaMn2Ru relaxed with PBEsol (SCAN).

The structure in CIF format:
```
data_BaMn2Ru
_chemical_formula_sum 'Ba3 Mn6 Ru3'
_space_group_name_H-M_alt 'R -3 m'
_space_group_IT_number 166
_space_group_name_Hall '-R 3 2"'
_cell_length_a 4.1358
_cell_length_b 4.1358
_cell_length_c 17.4091
_cell_angle_alpha 90.00
_cell_angle_beta 90.00
_cell_angle_gamma 120.00
loop_
_atom_site_label
_atom_site_type_symbol
_atom_site_fract_x
_atom_site_fract_y
_atom_site_fract_z
Ba1 Ba 0.0000 0.0000 0.0000
Mn1 Mn 0.0000 0.0000 0.1928
Ru1 Ru 0.0000 0.0000 0.5000
```

## Properties
As for the uncorrected energy: -1.009 Ha/atom. As for the energy above the most stable polymorph in this dataset: 0 meV per atom. Its formation energy is 0.2519 eV/atom.

# 6
Entry from Alexandria via LeMat-Bulk: a crystal of BaMn2Ru relaxed with PBEsol (SCAN).

The structure in CIF format:
```
data_BaMn2Ru
_chemical_formula_sum 'Ba2 Mn4 Ru2'
_space_group_name_H-M_alt 'C m m m'
_space_group_IT_number 65
_space_group_name_Hall '-C 2 2'
_cell_length_a 5.816
_cell_length_b 7.749
_cell_length_c 3.250
_cell_angle_alpha 90.00
_cell_angle_beta 90.00
_cell_angle_gamma 90.00
loop_
_atom_site_label
_atom_site_type_symbol
_atom_site_fract_x
_atom_site_fract_y
_atom_site_fract_z
Ba1 Ba 0.000 0.000 0.000
Mn1 Mn 0.250 0.250 0.500
Ru1 Ru 0.000 0.500 0.000
```

## Properties
As for the uncorrected energy: -0.992 Ha/atom. As for the energy above the most stable polymorph in this dataset: 465 meV per atom. Its formation energy is 0.7165 eV/atom.

# 7
Entry from Alexandria via LeMat-Bulk: a crystal of BaMn2Ru relaxed with PBEsol (SCAN).

The structure in CIF format:
```
data_BaMn2Ru
_chemical_formula_sum 'Ba1 Mn2 Ru1'
_space_group_name_H-M_alt 'P 1 2/m 1'
_space_group_IT_number 10
_space_group_name_Hall '-P 2y'
_cell_length_a 3.098
_cell_length_b 4.282
_cell_length_c 6.257
_cell_angle_alpha 90.00
_cell_angle_beta 103.91
_cell_angle_gamma 90.00
loop_
_atom_site_label
_atom_site_type_symbol
_atom_site_fract_x
_atom_site_fract_y
_atom_site_fract_z
Ba1 Ba 0.000 0.000 0.000
Mn1 Mn 0.275 0.500 0.614
Ru1 Ru 0.500 0.000 0.500
```

## Properties
As for the uncorrected energy: -0.987 Ha/atom. As for the energy above the most stable polymorph in this dataset: 624 meV per atom. Its formation energy is 0.8760 eV/atom.

# 8
Entry from Alexandria via LeMat-Bulk: a crystal of BaMnRu2 relaxed with PBEsol (SCAN).

The structure in CIF format:
```
data_BaMnRu2
_chemical_formula_sum 'Ba1 Mn1 Ru2'
_space_group_name_H-M_alt 'P 4/m m m'
_space_group_IT_number 123
_space_group_name_Hall '-P 4 2'
_cell_length_a 4.671
_cell_length_b 4.671
_cell_length_c 3.286
_cell_angle_alpha 90.00
_cell_angle_beta 90.00
_cell_angle_gamma 90.00
loop_
_atom_site_label
_atom_site_type_symbol
_atom_site_fract_x
_atom_site_fract_y
_atom_site_fract_z
Ba1 Ba 0.000 0.000 0.000
Mn1 Mn 0.500 0.500 0.000
Ru1 Ru 0.000 0.500 0.500
```

## Properties
As for the uncorrected energy: -1.135 Ha/atom. Its formation energy is 0.9887 eV/atom.

# 9
Entry from Alexandria via LeMat-Bulk: a crystal of BaMn2S2 relaxed with PBEsol (SCAN).

The structure in CIF format:
```
data_BaMn2S2
_chemical_formula_sum 'Ba2 Mn4 S4'
_space_group_name_H-M_alt 'I 4/m m m'
_space_group_IT_number 139
_space_group_name_Hall '-I 4 2'
_cell_length_a 4.614
_cell_length_b 4.614
_cell_length_c 9.333
_cell_angle_alpha 90.00
_cell_angle_beta 90.00
_cell_angle_gamma 90.00
loop_
_atom_site_label
_atom_site_type_symbol
_atom_site_fract_x
_atom_site_fract_y
_atom_site_fract_z
Ba1 Ba 0.000 0.000 0.000
Mn1 Mn 0.000 0.000 0.348
S1 S 0.000 0.500 0.250
```

## Properties
As for the uncorrected energy: -0.738 Ha/atom. As for the formation energy from raw total energies: -1024 meV/atom.

# 10
Entry from Alexandria via LeMat-Bulk: a crystal of Ba3MnS relaxed with PBEsol (SCAN).

The structure in CIF format:
```
data_Ba3MnS
_chemical_formula_sum 'Ba3 Mn1 S1'
_space_group_name_H-M_alt 'P m -3 m'
_space_group_IT_number 221
_space_group_name_Hall '-P 4 2 3'
_cell_length_a 6.018
_cell_length_b 6.018
_cell_length_c 6.018
_cell_angle_alpha 90.00
_cell_angle_beta 90.00
_cell_angle_gamma 90.00
loop_
_atom_site_label
_atom_site_type_symbol
_atom_site_fract_x
_atom_site_fract_y
_atom_site_fract_z
Ba1 Ba 0.000 0.000 0.500
Mn1 Mn 0.500 0.500 0.500
S1 S 0.000 0.000 0.000
```

## Properties
As for the uncorrected energy: -1.101 Ha/atom. As for the formation energy from raw total energies: -646 meV/atom.

# 11
Entry from Alexandria via LeMat-Bulk: a crystal of BaMnSb2 relaxed with PBEsol (SCAN).

The structure in CIF format:
```
data_BaMnSb2
_chemical_formula_sum 'Ba2 Mn2 Sb4'
_space_group_name_H-M_alt 'I m m 2'
_space_group_IT_number 44
_space_group_name_Hall 'I 2 -2'
_cell_length_a 3.579
_cell_length_b 3.957
_cell_length_c 15.728
_cell_angle_alpha 90.00
_cell_angle_beta 90.00
_cell_angle_gamma 90.00
loop_
_atom_site_label
_atom_site_type_symbol
_atom_site_fract_x
_atom_site_fract_y
_atom_site_fract_z
Ba1 Ba 0.000 0.000 0.000
Mn1 Mn 0.000 0.500 0.738
Sb1 Sb 0.000 0.000 0.362
Sb2 Sb 0.000 0.500 0.181
```

## Properties
As for the uncorrected energy: -1.228 Ha/atom. As for the formation energy from raw total energies: -347 meV/atom.

# 12
Entry from Alexandria via LeMat-Bulk: a crystal of BaMn2Sb relaxed with PBEsol (SCAN).

The structure in CIF format:
```
data_BaMn2Sb
_chemical_formula_sum 'Ba3 Mn6 Sb3'
_space_group_name_H-M_alt 'R -3 m'
_space_group_IT_number 166
_space_group_name_Hall '-R 3 2"'
_cell_length_a 4.4891
_cell_length_b 4.4891
_cell_length_c 16.7098
_cell_angle_alpha 90.00
_cell_angle_beta 90.00
_cell_angle_gamma 120.00
loop_
_atom_site_label
_atom_site_type_symbol
_atom_site_fract_x
_atom_site_fract_y
_atom_site_fract_z
Ba1 Ba 0.0000 0.0000 0.0000
Mn1 Mn 0.0000 0.0000 0.1896
Sb1 Sb 0.0000 0.0000 0.5000
```

## Properties
As for the uncorrected energy: -1.044 Ha/atom. As for the formation energy from raw total energies: -86 meV/atom.

# 13
Entry from Alexandria via LeMat-Bulk: a crystal of BaMnTc2Sb relaxed with PBEsol (SCAN).

The structure in CIF format:
```
data_BaMnTc2Sb
_chemical_formula_sum 'Ba1 Mn1 Tc2 Sb1'
_space_group_name_H-M_alt 'P 4/m m m'
_space_group_IT_number 123
_space_group_name_Hall '-P 4 2'
_cell_length_a 4.633
_cell_length_b 4.633
_cell_length_c 4.884
_cell_angle_alpha 90.00
_cell_angle_beta 90.00
_cell_angle_gamma 90.00
loop_
_atom_site_label
_atom_site_type_symbol
_atom_site_fract_x
_atom_site_fract_y
_atom_site_fract_z
Ba1 Ba 0.000 0.000 0.000
Mn1 Mn 0.500 0.500 0.500
Tc1 Tc 0.000 0.500 0.500
Sb1 Sb 0.500 0.500 0.000
```

## Properties
As for the uncorrected energy: -1.182 Ha/atom. As for the formation energy from raw total energies: 866 meV/atom.

# 14
Entry from Alexandria via LeMat-Bulk: a crystal of BaScMn2 relaxed with PBEsol (SCAN).

The structure in CIF format:
```
data_BaScMn2
_chemical_formula_sum 'Ba2 Sc2 Mn4'
_space_group_name_H-M_alt 'I m m 2'
_space_group_IT_number 44
_space_group_name_Hall 'I 2 -2'
_cell_length_a 3.355
_cell_length_b 4.526
_cell_length_c 12.090
_cell_angle_alpha 90.00
_cell_angle_beta 90.00
_cell_angle_gamma 90.00
loop_
_atom_site_label
_atom_site_type_symbol
_atom_site_fract_x
_atom_site_fract_y
_atom_site_fract_z
Ba1 Ba 0.000 0.000 0.000
Sc1 Sc 0.000 0.500 0.236
Mn1 Mn 0.000 0.000 0.348
Mn2 Mn 0.000 0.500 0.750
```

## Properties
As for the uncorrected energy: -0.808 Ha/atom. As for the energy above the most stable polymorph in this dataset: 225 meV per atom. Its formation energy is 0.5869 eV/atom.

# 15
Entry from Alexandria via LeMat-Bulk: a crystal of Ba2ScMn relaxed with PBEsol (SCAN).

The structure in CIF format:
```
data_Ba2ScMn
_chemical_formula_sum 'Ba6 Sc3 Mn3'
_space_group_name_H-M_alt 'R -3 m'
_space_group_IT_number 166
_space_group_name_Hall '-R 3 2"'
_cell_length_a 3.6597
_cell_length_b 3.6597
_cell_length_c 33.4681
_cell_angle_alpha 90.00
_cell_angle_beta 90.00
_cell_angle_gamma 120.00
loop_
_atom_site_label
_atom_site_type_symbol
_atom_site_fract_x
_atom_site_fract_y
_atom_site_fract_z
Ba1 Ba 0.0000 0.0000 0.2420
Sc1 Sc 0.0000 0.0000 0.0000
Mn1 Mn 0.0000 0.0000 0.5000
```

## Properties
As for the uncorrected energy: -1.004 Ha/atom. As for the energy above the most stable polymorph in this dataset: 143 meV per atom. Its formation energy is 0.5675 eV/atom.

# 16
Entry from Alexandria via LeMat-Bulk: a crystal of Ba2ScMn relaxed with PBEsol (SCAN).

The structure in CIF format:
```
data_Ba2ScMn
_chemical_formula_sum 'Ba4 Sc2 Mn2'
_space_group_name_H-M_alt 'I -4 m 2'
_space_group_IT_number 119
_space_group_name_Hall 'I -4 -2'
_cell_length_a 5.635
_cell_length_b 5.635
_cell_length_c 7.984
_cell_angle_alpha 90.00
_cell_angle_beta 90.00
_cell_angle_gamma 90.00
loop_
_atom_site_label
_atom_site_type_symbol
_atom_site_fract_x
_atom_site_fract_y
_atom_site_fract_z
Ba1 Ba 0.000 0.000 0.000
Ba2 Ba 0.000 0.500 0.250
Sc1 Sc 0.000 0.500 0.750
Mn1 Mn 0.000 0.000 0.500
```

## Properties
As for the uncorrected energy: -1.010 Ha/atom. As for the energy above the most stable polymorph in this dataset: 0 meV per atom. Its formation energy is 0.4242 eV/atom.

# 17
Entry from Alexandria via LeMat-Bulk: a crystal of BaScMn2 relaxed with PBEsol (SCAN).

The structure in CIF format:
```
data_BaScMn2
_chemical_formula_sum 'Ba1 Sc1 Mn2'
_space_group_name_H-M_alt 'P 4/m m m'
_space_group_IT_number 123
_space_group_name_Hall '-P 4 2'
_cell_length_a 5.124
_cell_length_b 5.124
_cell_length_c 3.393
_cell_angle_alpha 90.00
_cell_angle_beta 90.00
_cell_angle_gamma 90.00
loop_
_atom_site_label
_atom_site_type_symbol
_atom_site_fract_x
_atom_site_fract_y
_atom_site_fract_z
Ba1 Ba 0.000 0.000 0.000
Sc1 Sc 0.500 0.500 0.000
Mn1 Mn 0.000 0.500 0.500
```

## Properties
As for the uncorrected energy: -0.816 Ha/atom. As for the energy above the most stable polymorph in this dataset: 0 meV per atom. Its formation energy is 0.3619 eV/atom.

# 18
Entry from Alexandria via LeMat-Bulk: a crystal of Ba2ScMn relaxed with PBEsol (SCAN).

The structure in CIF format:
```
data_Ba2ScMn
_chemical_formula_sum 'Ba4 Sc2 Mn2'
_space_group_name_H-M_alt 'I m m m'
_space_group_IT_number 71
_space_group_name_Hall '-I 2 2'
_cell_length_a 3.779
_cell_length_b 5.376
_cell_length_c 12.288
_cell_angle_alpha 90.00
_cell_angle_beta 90.00
_cell_angle_gamma 90.00
loop_
_atom_site_label
_atom_site_type_symbol
_atom_site_fract_x
_atom_site_fract_y
_atom_site_fract_z
Ba1 Ba 0.000 0.000 0.201
Sc1 Sc 0.000 0.500 0.000
Mn1 Mn 0.000 0.500 0.500
```

## Properties
As for the uncorrected energy: -1.007 Ha/atom. As for the energy above the most stable polymorph in this dataset: 65 meV per atom. Its formation energy is 0.4891 eV/atom.

# 19
Entry from Alexandria via LeMat-Bulk: a crystal of BaScMn2 relaxed with PBEsol (SCAN).

The structure in CIF format:
```
data_BaScMn2
_chemical_formula_sum 'Ba4 Sc4 Mn8'
_space_group_name_H-M_alt 'F -4 3 m'
_space_group_IT_number 216
_space_group_name_Hall 'F -4 2 3'
_cell_length_a 7.031
_cell_length_b 7.031
_cell_length_c 7.031
_cell_angle_alpha 90.00
_cell_angle_beta 90.00
_cell_angle_gamma 90.00
loop_
_atom_site_label
_atom_site_type_symbol
_atom_site_fract_x
_atom_site_fract_y
_atom_site_fract_z
Ba1 Ba 0.000 0.000 0.000
Sc1 Sc 0.250 0.250 0.750
Mn1 Mn 0.000 0.000 0.500
Mn2 Mn 0.250 0.250 0.250
```

## Properties
As for the uncorrected energy: -0.813 Ha/atom. As for the energy above the most stable polymorph in this dataset: 87 meV per atom. Its formation energy is 0.4494 eV/atom.

# 20
Entry from Alexandria via LeMat-Bulk: a crystal of Ba2MnSe relaxed with PBEsol (SCAN).

The structure in CIF format:
```
data_Ba2MnSe
_chemical_formula_sum 'Ba2 Mn1 Se1'
_space_group_name_H-M_alt 'P 4/m m m'
_space_group_IT_number 123
_space_group_name_Hall '-P 4 2'
_cell_length_a 4.033
_cell_length_b 4.033
_cell_length_c 7.872
_cell_angle_alpha 90.00
_cell_angle_beta 90.00
_cell_angle_gamma 90.00
loop_
_atom_site_label
_atom_site_type_symbol
_atom_site_fract_x
_atom_site_fract_y
_atom_site_fract_z
Ba1 Ba 0.000 0.000 0.233
Mn1 Mn 0.500 0.500 0.500
Se1 Se 0.500 0.500 0.000
```

## Properties
As for the uncorrected energy: -1.108 Ha/atom. As for the formation energy from raw total energies: -798 meV/atom.